Model A:
First-principles (PBE) data for Li4Cd3Ag2 after structural relaxation, as listed in Alexandria.

- Density: 6.0 g cm⁻³
- SG: No. 12

Cell lengths 4.1142, 5.0615, 9.0091 Å; angles 71.92, 76.80, 66.02 degrees
Fractional positions:
Li 0.6669 0.5574 0.1089
Li 0.0063 0.3150 0.6724
Li 0.9937 0.6850 0.3276
Li 0.3331 0.4426 0.8911
Cd 0.3373 0.7646 0.5608
Cd 0.0000 0.0000 0.0000
Cd 0.6627 0.2354 0.4392
Ag 0.3257 0.1309 0.2178
Ag 0.6743 0.8691 0.7822


Model B:
First-principles (PBE) data for Li4Cd3Ag2 after structural relaxation, as listed in Alexandria.

- Density: 5.9 g cm⁻³
- SG: No. 12

Cell lengths 4.0164, 6.7065, 6.7510 Å; angles 108.22, 107.31, 90.00 degrees
Fractional positions:
Li 0.5515 0.3236 0.1031
Li 0.7785 0.6821 0.5570
Li 0.4485 0.6764 0.8969
Li 0.2215 0.3179 0.4430
Cd 0.8841 0.3434 0.7682
Cd 0.1159 0.6566 0.2318
Cd 0.0000 0.0000 0.0000
Ag 0.3337 0.9941 0.6673
Ag 0.6663 0.0059 0.3327


Most stable of them? model A.


Model A:
First-principles (PBE) data for LiCd4Ag5 after structural relaxation, as listed in Alexandria.

- Density: 8.8 g cm⁻³
- SG: No. 2

Cell lengths 5.0111, 5.8375, 6.9620 Å; angles 103.92, 105.33, 78.19 degrees
Fractional positions:
Li 0.5000 0.0000 0.0000
Cd 0.6945 0.3008 0.3902
Cd 0.1044 0.8954 0.1955
Cd 0.3055 0.6992 0.6098
Cd 0.8956 0.1046 0.8045
Ag 0.2981 0.1980 0.6019
Ag 0.0987 0.3988 0.1970
Ag 0.9013 0.6012 0.8030
Ag 0.5000 0.5000 0.0000
Ag 0.7019 0.8020 0.3981


Model B:
First-principles (PBE) data for LiCd4Ag5 after structural relaxation, as listed in Alexandria.

- Density: 8.1 g cm⁻³
- SG: No. 79

Cell lengths 5.7909, 6.5972, 6.5972 Å; angles 78.89, 63.97, 63.97 degrees
Fractional positions:
Li 0.2181 0.0000 0.0000
Cd 0.3923 0.3817 0.7421
Cd 0.7740 0.7421 0.6183
Cd 0.1344 0.2579 0.3817
Cd 0.5161 0.6183 0.2579
Ag 0.8508 0.3412 0.8704
Ag 0.1920 0.8704 0.6588
Ag 0.7212 0.1296 0.3412
Ag 0.0624 0.6588 0.1296
Ag 0.6492 0.0000 0.0000


Most stable of them? model A.


Model A:
First-principles (PBE) data for LiCdAg5 after structural relaxation, as listed in Alexandria.

- Density: 8.0 g cm⁻³
- SG: No. 65

Cell lengths 4.9669, 4.9669, 5.9421 Å; angles 90.00, 90.00, 110.27 degrees
Fractional positions:
Li 0.5000 0.5000 0.5000
Cd 0.0000 0.0000 0.0000
Ag 0.5000 0.0000 0.2497
Ag 0.0000 0.5000 0.2497
Ag 0.0000 0.0000 0.5000
Ag 0.0000 0.5000 0.7503
Ag 0.5000 0.0000 0.7503


Model B:
First-principles (PBE) data for LiCdAg5 after structural relaxation, as listed in Alexandria.

- Density: 5.6 g cm⁻³
- SG: No. 44

Cell lengths 5.4638, 7.4627, 6.6663 Å; angles 124.04, 114.19, 90.00 degrees
Fractional positions:
Li 0.3918 0.0000 0.0000
Cd 0.6072 0.5000 0.0000
Ag 0.0754 0.2465 0.4930
Ag 0.1120 0.5000 0.0000
Ag 0.5824 0.7535 0.5070
Ag 0.8809 0.1821 0.0000
Ag 0.8809 0.8179 0.0000


Most stable of them? model A.


Model A:
First-principles (PBE) data for Li2Cd3Ag after structural relaxation, as listed in Alexandria.

- Density: 6.8 g cm⁻³
- SG: No. 123

Cell lengths 3.4399, 3.4398, 9.4441 Å; angles 90.00, 90.00, 90.00 degrees
Fractional positions:
Li 0.5000 0.5000 0.8334
Li 0.5000 0.5000 0.1666
Cd 0.0000 0.0000 0.0000
Cd 0.0000 0.0000 0.6739
Cd 0.0000 0.0000 0.3261
Ag 0.5000 0.5000 0.5000


Model B:
First-principles (PBE) data for Li2Cd3Ag after structural relaxation, as listed in Alexandria.

- Density: 6.3 g cm⁻³
- SG: No. 25

Cell lengths 2.9758, 4.8332, 8.4333 Å; angles 90.00, 90.00, 90.00 degrees
Fractional positions:
Li 0.0000 0.5000 0.0091
Li 0.0000 0.0000 0.4926
Cd 0.5000 0.0000 0.8353
Cd 0.5000 0.0000 0.1719
Cd 0.5000 0.5000 0.6589
Ag 0.5000 0.5000 0.3321


Most stable of them? model A.